Version 1
The following is a PBE with a Hubbard U calculation of an optimized crystal structure of FeSbP2O, from the Alexandria database.

## Properties
total moment = 3.6 μB/cell
Fermi-level density of states = 3.2 states/eV/cell

Cell: 5.1035 5.1035 3.8810 Å, 90.00 90.00 90.00°
Space group P4/mmm (No. 123)
Unique sites:
Fe  0.0000  0.0000  0.0000 x1
Sb  0.5000  0.5000  0.5000 x1
P  0.0000  0.5000  0.5000 x2
O  0.5000  0.5000  0.0000 x1

***

Version 2
The following is a PBE with a Hubbard U calculation of an optimized crystal structure of FeSbP2O, from the Alexandria database.

## Properties
total moment = 3.3 μB/cell
Fermi-level density of states = 3.5 states/eV/cell

Cell: 4.8579 4.8579 3.6327 Å, 90.00 90.00 90.00°
Space group P4/mmm (No. 123)
Unique sites:
Fe  0.0000  0.0000  0.0000 x1
Sb  0.5000  0.5000  0.5000 x1
P  0.0000  0.5000  0.0000 x2
O  0.0000  0.0000  0.5000 x1

***

We find version 2 to be the most stable, with the next structure 45.6 kJ/mol of atoms higher.

***

Version 1
The following is a PBE with a Hubbard U calculation of an optimized crystal structure of FeSiPO2, from the Alexandria database.

## Properties
total moment = 3.9 μB/cell
Fermi-level density of states = 2.3 states/eV/cell

Cell: 3.6745 3.6745 5.0464 Å, 90.00 90.00 90.00°
Space group P4/mmm (No. 123)
Unique sites:
Fe  0.0000  0.0000  0.0000 x1
Si  0.5000  0.5000  0.5000 x1
P  0.0000  0.0000  0.5000 x1
O  0.0000  0.5000  0.0000 x2

***

Version 2
The following is a PBE with a Hubbard U calculation of an optimized crystal structure of FeSiPO2, from the Alexandria database.

## Properties
total moment = 4.1 μB/cell
Fermi-level density of states = 1.3 states/eV/cell

Cell: 3.4615 3.4615 5.1666 Å, 90.00 90.00 90.00°
Space group P4/mmm (No. 123)
Unique sites:
Fe  0.0000  0.0000  0.0000 x1
Si  0.5000  0.5000  0.5000 x1
P  0.5000  0.5000  0.0000 x1
O  0.0000  0.5000  0.5000 x2

***

We find version 2 to be the most stable, with the next structure 66.4 kJ/mol of atoms higher.

***

Version 1
The following is a PBE with a Hubbard U calculation of an optimized crystal structure of FeSiP2O, from the Alexandria database.

## Properties
total moment = 2.4 μB/cell
Fermi-level density of states = 2.4 states/eV/cell

Cell: 4.6856 4.6856 3.5195 Å, 90.00 90.00 90.00°
Space group P4/mmm (No. 123)
Unique sites:
Fe  0.0000  0.0000  0.0000 x1
Si  0.5000  0.5000  0.5000 x1
P  0.0000  0.5000  0.0000 x2
O  0.0000  0.0000  0.5000 x1

***

Version 2
The following is a PBE with a Hubbard U calculation of an optimized crystal structure of FeSiP2O, from the Alexandria database.

## Properties
total moment = 3.5 μB/cell
Fermi-level density of states = 2.1 states/eV/cell

Cell: 4.8521 4.8521 3.2459 Å, 90.00 90.00 90.00°
Space group P4/mmm (No. 123)
Unique sites:
Fe  0.0000  0.0000  0.0000 x1
Si  0.5000  0.5000  0.5000 x1
P  0.0000  0.5000  0.5000 x2
O  0.5000  0.5000  0.0000 x1

***

We find version 2 to be the most stable, with the next structure 47.5 kJ/mol of atoms higher.

***

Version 1
The following is a PBE with a Hubbard U calculation of an optimized crystal structure of SrFePO2, from the Alexandria database.

## Properties
total moment = 3.6 μB/cell
Fermi-level density of states = 3.2 states/eV/cell

Cell: 4.1085 4.1085 4.6086 Å, 90.00 90.00 90.00°
Space group P4/mmm (No. 123)
Unique sites:
Sr  0.0000  0.0000  0.0000 x1
Fe  0.5000  0.5000  0.5000 x1
P  0.5000  0.5000  0.0000 x1
O  0.0000  0.5000  0.5000 x2

***

Version 2
The following is a PBE with a Hubbard U calculation of an optimized crystal structure of SrFePO2, from the Alexandria database.

## Properties
total moment = 6.8 μB/cell
Fermi-level density of states = 3.7 states/eV/cell

Cell: 4.4160 4.4160 6.1866 Å, 90.00 90.00 90.00°
Space group P4/mmm (No. 123)
Unique sites:
Sr  0.0000  0.0000  0.0000 x1
Fe  0.5000  0.5000  0.5000 x1
P  0.0000  0.0000  0.5000 x1
O  0.0000  0.5000  0.0000 x2

***

We find version 1 to be the most stable, with the next structure 112.4 kJ/mol of atoms higher.

***

Version 1
The following is a PBE with a Hubbard U calculation of an optimized crystal structure of Sr2FePO, from the Alexandria database.

## Properties
total moment = 0.3 μB/cell
Fermi-level density of states = 4.0 states/eV/cell

Cell: 5.5829 5.5829 4.1115 Å, 90.00 90.00 90.00°
Space group P4/mmm (No. 123)
Unique sites:
Sr  0.0000  0.5000  0.0000 x2
Fe  0.0000  0.0000  0.0000 x1
P  0.0000  0.0000  0.5000 x1
O  0.5000  0.5000  0.5000 x1

***

Version 2
The following is a PBE with a Hubbard U calculation of an optimized crystal structure of Sr2FePO, from the Alexandria database.

## Properties
total moment = 3.0 μB/cell
Fermi-level density of states = 1.4 states/eV/cell

Cell: 5.7145 5.7145 4.2531 Å, 90.00 90.00 90.00°
Space group P4/mmm (No. 123)
Unique sites:
Sr  0.0000  0.5000  0.0000 x2
Fe  0.0000  0.0000  0.5000 x1
P  0.0000  0.0000  0.0000 x1
O  0.5000  0.5000  0.5000 x1

***

We find version 2 to be the most stable, with the next structure 30.9 kJ/mol of atoms higher.

***

Version 1
The following is a PBE with a Hubbard U calculation of an optimized crystal structure of TaFeP2O, from the Alexandria database.

## Properties
total moment = 3.7 μB/cell
Fermi-level density of states = 3.0 states/eV/cell

Cell: 4.9444 4.9444 3.8532 Å, 90.00 90.00 90.00°
Space group P4/mmm (No. 123)
Unique sites:
Ta  0.0000  0.0000  0.0000 x1
Fe  0.5000  0.5000  0.5000 x1
P  0.0000  0.5000  0.0000 x2
O  0.0000  0.0000  0.5000 x1

***

Version 2
The following is a PBE with a Hubbard U calculation of an optimized crystal structure of TaFeP2O, from the Alexandria database.

## Properties
total moment = 3.0 μB/cell
Fermi-level density of states = 3.1 states/eV/cell

Cell: 4.6219 4.6219 3.4932 Å, 90.00 90.00 90.00°
Space group P4/mmm (No. 123)
Unique sites:
Ta  0.0000  0.0000  0.0000 x1
Fe  0.5000  0.5000  0.5000 x1
P  0.0000  0.5000  0.5000 x2
O  0.5000  0.5000  0.0000 x1

***

We find version 1 to be the most stable, with the next structure 56.5 kJ/mol of atoms higher.

***

Version 1
The following is a PBE with a Hubbard U calculation of an optimized crystal structure of TaFePO2, from the Alexandria database.

## Properties
total moment = 4.0 μB/cell
Fermi-level density of states = 2.3 states/eV/cell

Cell: 3.7106 3.7106 4.8954 Å, 90.00 90.00 90.00°
Space group P4/mmm (No. 123)
Unique sites:
Ta  0.0000  0.0000  0.0000 x1
Fe  0.5000  0.5000  0.5000 x1
P  0.5000  0.5000  0.0000 x1
O  0.0000  0.5000  0.5000 x2

***

Version 2
The following is a PBE with a Hubbard U calculation of an optimized crystal structure of TaFePO2, from the Alexandria database.

## Properties
total moment = 3.9 μB/cell
Fermi-level density of states = 5.4 states/eV/cell

Cell: 3.8680 3.8680 5.2951 Å, 90.00 90.00 90.00°
Space group P4/mmm (No. 123)
Unique sites:
Ta  0.0000  0.0000  0.0000 x1
Fe  0.5000  0.5000  0.5000 x1
P  0.0000  0.0000  0.5000 x1
O  0.0000  0.5000  0.0000 x2

***

We find version 2 to be the most stable, with the next structure 90.9 kJ/mol of atoms higher.

***

Version 1
The following is a PBE with a Hubbard U calculation of an optimized crystal structure of FeTcPO2, from the Alexandria database.

## Properties
total moment = 7.9 μB/cell
Fermi-level density of states = 2.8 states/eV/cell

Cell: 3.6683 3.6683 5.3734 Å, 90.00 90.00 90.00°
Space group P4/mmm (No. 123)
Unique sites:
Fe  0.0000  0.0000  0.0000 x1
Tc  0.5000  0.5000  0.5000 x1
P  0.0000  0.0000  0.5000 x1
O  0.0000  0.5000  0.0000 x2

***

Version 2
The following is a PBE with a Hubbard U calculation of an optimized crystal structure of FeTcPO2, from the Alexandria database.

## Properties
total moment = 4.1 μB/cell
Fermi-level density of states = 1.3 states/eV/cell

Cell: 3.7781 3.7781 5.1470 Å, 90.00 90.00 90.00°
Space group P4/mmm (No. 123)
Unique sites:
Fe  0.0000  0.0000  0.0000 x1
Tc  0.5000  0.5000  0.5000 x1
P  0.5000  0.5000  0.0000 x1
O  0.0000  0.5000  0.5000 x2

***

We find version 2 to be the most stable, with the next structure 55.2 kJ/mol of atoms higher.

***

Version 1
The following is a PBE with a Hubbard U calculation of an optimized crystal structure of VFeP2O8, from the Alexandria database.

## Properties
total moment = 51.0 μB/cell

Cell: 8.6475 8.6475 20.7445 Å, 90.00 90.00 120.00°
Space group R3 (No. 146, hexagonal axes)
Unique sites:
V  0.0000  0.0000  0.0000 x3
V  0.0000  0.0000  0.2158 x3
V  0.0000  0.0000  0.5002 x3
Fe  0.0000  0.0000  0.3567 x3
Fe  0.0000  0.0000  0.7140 x3
Fe  0.0000  0.0000  0.8552 x3
P  0.0013  0.2928  0.1077 x9
P  0.0030  0.7096  0.6080 x9
O  0.9997  0.8080  0.5457 x9
O  0.0023  0.1930  0.0454 x9
O  0.0091  0.1978  0.1676 x9
O  0.0126  0.8123  0.6682 x9
O  0.0163  0.8293  0.2813 x9
O  0.0175  0.1862  0.7803 x9
O  0.1707  0.4838  0.1008 x9
O  0.1722  0.6888  0.6002 x9

***

Version 2
The following is a PBE with a Hubbard U calculation of an optimized crystal structure of VFeP2O8, from the Alexandria database.

## Properties
total moment = 63.0 μB/cell
Fermi-level density of states = 20.2 states/eV/cell

Cell: 8.6274 8.6274 20.7388 Å, 90.00 90.00 120.00°
Space group R3 (No. 146, hexagonal axes)
Unique sites:
V  0.0000  0.0000  0.0000 x3
V  0.0000  0.0000  0.1442 x3
V  0.0000  0.0000  0.6447 x3
Fe  0.0000  0.0000  0.2882 x3
Fe  0.0000  0.0000  0.4974 x3
Fe  0.0000  0.0000  0.7906 x3
P  0.0004  0.7051  0.3924 x9
P  0.0397  0.3709  0.5615 x9
O  0.0025  0.8022  0.4542 x9
O  0.0077  0.1961  0.9560 x9
O  0.0106  0.8328  0.0660 x9
O  0.0212  0.1823  0.5725 x9
O  0.1401  0.6747  0.9985 x9
O  0.1446  0.4622  0.5008 x9
O  0.1634  0.4828  0.8866 x9
O  0.1692  0.6824  0.3841 x9

***

We find version 1 to be the most stable, with the next structure 3.4 kJ/mol of atoms higher.

***

Version 1
The following is a PBE with a Hubbard U calculation of an optimized crystal structure of FePWO2, from the Alexandria database.

## Properties
total moment = 4.1 μB/cell
Fermi-level density of states = 5.4 states/eV/cell

Cell: 3.8428 3.8428 5.2189 Å, 90.00 90.00 90.00°
Space group P4/mmm (No. 123)
Unique sites:
Fe  0.0000  0.0000  0.0000 x1
P  0.5000  0.5000  0.0000 x1
W  0.5000  0.5000  0.5000 x1
O  0.0000  0.5000  0.5000 x2

***

Version 2
The following is a PBE with a Hubbard U calculation of an optimized crystal structure of FePWO2, from the Alexandria database.

## Properties
total moment = 7.1 μB/cell
Fermi-level density of states = 1.1 states/eV/cell

Cell: 3.7722 3.7722 5.0221 Å, 90.00 90.00 90.00°
Space group P4/mmm (No. 123)
Unique sites:
Fe  0.0000  0.0000  0.0000 x1
P  0.0000  0.0000  0.5000 x1
W  0.5000  0.5000  0.5000 x1
O  0.0000  0.5000  0.0000 x2

***

We find version 1 to be the most stable, with the next structure 51.7 kJ/mol of atoms higher.

***

Version 1
The following is a PBE with a Hubbard U calculation of an optimized crystal structure of FeP2WO, from the Alexandria database.

## Properties
total moment = 4.6 μB/cell
Fermi-level density of states = 2.2 states/eV/cell

Cell: 4.6845 4.6845 3.5156 Å, 90.00 90.00 90.00°
Space group P4/mmm (No. 123)
Unique sites:
Fe  0.0000  0.0000  0.0000 x1
P  0.0000  0.5000  0.0000 x2
W  0.5000  0.5000  0.5000 x1
O  0.0000  0.0000  0.5000 x1

***

Version 2
The following is a PBE with a Hubbard U calculation of an optimized crystal structure of FeP2WO, from the Alexandria database.

## Properties
total moment = 4.1 μB/cell
Fermi-level density of states = 2.4 states/eV/cell

Cell: 4.8849 4.8849 3.7987 Å, 90.00 90.00 90.00°
Space group P4/mmm (No. 123)
Unique sites:
Fe  0.0000  0.0000  0.0000 x1
P  0.0000  0.5000  0.5000 x2
W  0.5000  0.5000  0.5000 x1
O  0.5000  0.5000  0.0000 x1

***

We find version 2 to be the most stable, with the next structure 31.9 kJ/mol of atoms higher.

***

Version 1
The following is a PBE with a Hubbard U calculation of an optimized crystal structure of ZnFeP2O, from the Alexandria database.

## Properties
total moment = 3.3 μB/cell
Fermi-level density of states = 3.5 states/eV/cell

Cell: 4.8513 4.8513 3.5712 Å, 90.00 90.00 90.00°
Space group P4/mmm (No. 123)
Unique sites:
Zn  0.0000  0.0000  0.0000 x1
Fe  0.5000  0.5000  0.5000 x1
P  0.0000  0.5000  0.0000 x2
O  0.0000  0.0000  0.5000 x1

***

Version 2
The following is a PBE with a Hubbard U calculation of an optimized crystal structure of ZnFeP2O, from the Alexandria database.

## Properties
total moment = 2.9 μB/cell
Fermi-level density of states = 2.4 states/eV/cell

Cell: 4.7874 4.7874 3.5378 Å, 90.00 90.00 90.00°
Space group P4/mmm (No. 123)
Unique sites:
Zn  0.0000  0.0000  0.0000 x1
Fe  0.5000  0.5000  0.5000 x1
P  0.0000  0.5000  0.5000 x2
O  0.5000  0.5000  0.0000 x1

***

We find version 2 to be the most stable, with the next structure 36.6 kJ/mol of atoms higher.